Record 1
DFT (PBE-GGA) results for an optimized crystal structure of HoLuZr2.

Lattice parameters (Å, degrees): 3.2591 3.2591 34.6911 90.00 90.00 120.00
Space group R-3m (No. 166, hexagonal axes)
Inequivalent atoms, fractional coordinates:
Ho (0.0000, 0.0000, 0.0000) [3 per cell]
Lu (0.0000, 0.0000, 0.5000) [3 per cell]
Zr (0.0000, 0.0000, 0.4110) [6 per cell]

Values from the calculation:
* formation energy from the elements: 0.2931 eV per atom
* density of states at the Fermi level: 19.0 states/eV/cell

=====

Record 2
DFT (PBE-GGA) results for an optimized crystal structure of HoLuZr2.

Lattice parameters (Å, degrees): 4.682 4.682 4.742 90.00 90.00 90.00
Space group P4/mmm (No. 123)
Inequivalent atoms, fractional coordinates:
Ho (0.000, 0.000, 0.000) [1 per cell]
Lu (0.500, 0.500, 0.000) [1 per cell]
Zr (0.000, 0.500, 0.500) [2 per cell]

Values from the calculation:
* formation energy from the elements: 0.0937 eV per atom
* density of states at the Fermi level: 5.0 states/eV/cell

=====

formation energy from the elements of number 1 (HoLuZr2)?
0.2931 eV per atom